Material: Hf2TeS
Method: DFT, GGA-PBE
State: relaxed

Cell lengths 5.4126, 5.4126, 14.7144 Å; angles 90.00, 90.00, 90.00 degrees
Last column: nearest neighbours and their distance in Å.
Fractional coordinates of all 16 atoms:
1 Hf 0.1716 0.2500 0.1250  2 S 2.47
2 Hf 0.2500 0.6716 0.3750  2 S 2.47
3 Hf 0.2500 0.8284 0.8750  2 S 2.47
4 Hf 0.3284 0.2500 0.6250  2 S 2.47
5 Hf 0.6716 0.7500 0.6250  2 S 2.47
6 Hf 0.7500 0.1716 0.8750  2 S 2.47
7 Hf 0.7500 0.3284 0.3750  2 S 2.47
8 Hf 0.8284 0.7500 0.1250  2 S 2.47
9 Te 0.0000 0.0000 0.5000  4 Hf 2.89
10 Te 0.0000 0.5000 0.7500  4 Hf 2.89
11 Te 0.5000 0.0000 0.2500  4 Hf 2.89
12 Te 0.5000 0.5000 0.0000  4 Hf 2.89
13 S 0.0000 0.0000 0.0000  4 Hf 2.47
14 S 0.0000 0.5000 0.2500  4 Hf 2.47
15 S 0.5000 0.0000 0.7500  4 Hf 2.47
16 S 0.5000 0.5000 0.5000  4 Hf 2.47

Summary:
**Size of the total moment**: 0.000 μB per cell
**Raw total energy**: -7.18 eV/atom
**SG**: I-42d, No. 122